Entry from the Alexandria database: crystalline ZrFe2Se at its relaxed geometry (PBE).

* formation energy (no corrections): -169 meV per atom

a = 3.2863 Å, b = 3.2863 Å, c = 5.9721 Å
α = 90.00°, β = 90.00°, γ = 90.00°
Fractional coordinates of all 4 atoms:
Zr (0.0000, 0.0000, 0.0000)
Fe (0.0000, 0.0000, 0.4678)
Fe (0.5000, 0.5000, 0.3010)
Se (0.5000, 0.5000, 0.7397)



Entry from the Alexandria database: crystalline ScAlGa2Pb at its relaxed geometry (PBE).

* formation energy from the elements: 0.8049 eV/atom

a = 5.3214 Å, b = 5.3214 Å, c = 5.3362 Å
α = 90.00°, β = 90.00°, γ = 90.00°
Fractional coordinates of all 5 atoms:
Sc (0.0000, 0.0000, 0.0000)
Al (0.5000, 0.5000, 0.0000)
Ga (0.0000, 0.5000, 0.5000)
Ga (0.5000, 0.0000, 0.5000)
Pb (0.5000, 0.5000, 0.5000)